[1]
K2CaI2Cl2 | PBE | relaxed

Properties
M_tot: 0.0 μB/f.u.
DFT total energy: -23.971 eV/f.u.
raw formation energy: -1.8544 eV/atom

a = 5.370 Å, b = 5.370 Å, c = 18.409 Å
α = 90.00°, β = 90.00°, γ = 90.00°
Space group I4/mmm (No. 139)
Unique sites:
K 0.000 0.000 0.135 [4 per cell]
Ca 0.000 0.000 0.500 [2 per cell]
I 0.000 0.000 0.330 [4 per cell]
Cl 0.000 0.500 0.000 [4 per cell]



[2]
La2ZrCo | PBE | relaxed

Properties
energy above the lowest structure with this stoichiometry: 0.389 eV per atom
M_tot: 2.9 μB/f.u.
DFT total energy: -23.928 eV/f.u.

a = 7.406 Å, b = 7.406 Å, c = 7.406 Å
α = 90.00°, β = 90.00°, γ = 90.00°
Space group Fm-3m (No. 225)
Unique sites:
La 0.250 0.250 0.250 [8 per cell]
Zr 0.000 0.000 0.000 [4 per cell]
Co 0.000 0.000 0.500 [4 per cell]



[3]
LiLa2Mg | PBE | relaxed

Properties
energy above the lowest structure with this stoichiometry: 0.117 eV per atom
M_tot: 0.5 μB/f.u.
DFT total energy: -12.905 eV/f.u.

a = 7.699 Å, b = 7.699 Å, c = 7.699 Å
α = 90.00°, β = 90.00°, γ = 90.00°
Space group F-43m (No. 216)
Unique sites:
Li 0.000 0.000 0.000 [4 per cell]
La 0.000 0.000 0.500 [4 per cell]
La 0.250 0.250 0.250 [4 per cell]
Mg 0.250 0.250 0.750 [4 per cell]



[4]
Ho3InRh | PBE | relaxed

Properties
energy above the lowest structure with this stoichiometry: 0.071 eV per atom
M_tot: 0.0 μB/f.u.
DFT total energy: -26.018 eV/f.u.

a = 14.716 Å, b = 10.644 Å, c = 7.177 Å
α = 90.00°, β = 90.00°, γ = 90.00°
Space group Cmcm (No. 63)
Unique sites:
Ho 0.131 0.000 0.000 [8 per cell]
Ho 0.143 0.333 0.007 [16 per cell]
In 0.000 0.181 0.750 [4 per cell]
In 0.000 0.496 0.750 [4 per cell]
Rh 0.220 0.149 0.250 [8 per cell]



[5]
Tl5Sn3 | PBE | relaxed

Properties
M_tot: 0.0 μB/f.u.
DFT total energy: -23.732 eV/f.u.

a = 3.441 Å, b = 6.730 Å, c = 10.331 Å
α = 90.00°, β = 90.00°, γ = 90.00°
Space group Pmm2 (No. 25)
Unique sites:
Tl 0.000 0.000 0.000 [1 per cell]
Tl 0.000 0.000 0.487 [1 per cell]
Tl 0.000 0.500 0.487 [1 per cell]
Tl 0.500 0.255 0.752 [2 per cell]
Sn 0.000 0.500 0.017 [1 per cell]
Sn 0.500 0.257 0.240 [2 per cell]



[6]
AsPb3 | PBE | relaxed

Properties
energy above the lowest structure with this stoichiometry: 0.086 eV per atom
M_tot: 0.0 μB/f.u.
DFT total energy: -15.274 eV/f.u.

a = 3.409 Å, b = 5.688 Å, c = 5.889 Å
α = 90.00°, β = 90.00°, γ = 90.00°
Space group Pmm2 (No. 25)
Unique sites:
As 0.000 0.000 0.000 [1 per cell]
Pb 0.000 0.500 0.349 [1 per cell]
Pb 0.500 0.000 0.516 [1 per cell]
Pb 0.500 0.500 0.871 [1 per cell]



[7]
NbCd2Ni | PBE | relaxed

Properties
energy above the lowest structure with this stoichiometry: 0.177 eV per atom
M_tot: 0.0 μB/f.u.
DFT total energy: -15.442 eV/f.u.

a = 7.608 Å, b = 7.608 Å, c = 5.247 Å
α = 90.00°, β = 90.00°, γ = 90.00°
Space group I-42d (No. 122)
Unique sites:
Nb 0.000 0.000 0.000 [4 per cell]
Cd 0.209 0.250 0.625 [8 per cell]
Ni 0.000 0.000 0.500 [4 per cell]



[8]
LiMnGaMo | PBE | relaxed

Properties
M_tot: 1.0 μB/f.u.
DFT total energy: -25.176 eV/f.u.

a = 5.926 Å, b = 5.926 Å, c = 5.926 Å
α = 90.00°, β = 90.00°, γ = 90.00°
Space group F-43m (No. 216)
Unique sites:
Li 0.000 0.000 0.000 [4 per cell]
Mn 0.000 0.000 0.500 [4 per cell]
Ga 0.250 0.250 0.750 [4 per cell]
Mo 0.250 0.250 0.250 [4 per cell]



[9]
Sr4ZrRe | PBE | relaxed

Properties
M_tot: 0.5 μB/f.u.
DFT total energy: -18.703 eV/f.u.

a = 9.402 Å, b = 9.402 Å, c = 9.402 Å
α = 90.00°, β = 90.00°, γ = 90.00°
Space group F-43m (No. 216)
Unique sites:
Sr 0.125 0.125 0.125 [16 per cell]
Zr 0.250 0.250 0.750 [4 per cell]
Re 0.000 0.000 0.500 [4 per cell]



[10]
CePrLuSn | PBE | relaxed

Properties
M_tot: 0.4 μB/f.u.
DFT total energy: -19.920 eV/f.u.

a = 7.674 Å, b = 7.674 Å, c = 7.674 Å
α = 90.00°, β = 90.00°, γ = 90.00°
Space group F-43m (No. 216)
Unique sites:
Ce 0.000 0.000 0.000 [4 per cell]
Pr 0.250 0.250 0.250 [4 per cell]
Lu 0.250 0.250 0.750 [4 per cell]
Sn 0.000 0.000 0.500 [4 per cell]



[11]
YFe2W | PBE | relaxed

Properties
energy above the lowest structure with this stoichiometry: 0.037 eV per atom
M_tot: 2.1 μB/f.u.
DFT total energy: -35.551 eV/f.u.

a = 4.1345 Å, b = 4.1345 Å, c = 14.7388 Å
α = 90.00°, β = 90.00°, γ = 120.00°
Space group R-3m (No. 166, hexagonal axes)
Unique sites:
Y 0.0000 0.0000 0.0000 [3 per cell]
Fe 0.0000 0.0000 0.1990 [6 per cell]
W 0.0000 0.0000 0.5000 [3 per cell]



[12]
UIrOs2 | PBE | relaxed

Properties
M_tot: 0.0 μB/f.u.
DFT total energy: -44.049 eV/f.u.

a = 4.051 Å, b = 4.051 Å, c = 3.991 Å
α = 90.00°, β = 90.00°, γ = 90.00°
Space group P4/mmm (No. 123)
Unique sites:
U 0.000 0.000 0.000 [1 per cell]
Ir 0.500 0.500 0.000 [1 per cell]
Os 0.000 0.500 0.500 [2 per cell]



[13]
LiPr5Tm4 | PBE | relaxed

Properties
M_tot: 0.0 μB/f.u.
DFT total energy: -43.313 eV/f.u.

a = 3.636 Å, b = 3.636 Å, c = 24.356 Å
α = 90.00°, β = 90.00°, γ = 90.00°
Space group P4/mmm (No. 123)
Unique sites:
Li 0.000 0.000 0.000 [1 per cell]
Pr 0.500 0.500 0.090 [2 per cell]
Pr 0.500 0.500 0.295 [2 per cell]
Pr 0.500 0.500 0.500 [1 per cell]
Tm 0.000 0.000 0.192 [2 per cell]
Tm 0.000 0.000 0.397 [2 per cell]



[14]
MgFePd14 | PBE | relaxed

Properties
M_tot: 6.5 μB/f.u.
DFT total energy: -85.054 eV/f.u.

a = 5.588 Å, b = 5.588 Å, c = 7.823 Å
α = 90.00°, β = 90.00°, γ = 90.00°
Space group P4/mmm (No. 123)
Unique sites:
Mg 0.000 0.000 0.000 [1 per cell]
Fe 0.500 0.500 0.000 [1 per cell]
Pd 0.000 0.000 0.500 [1 per cell]
Pd 0.000 0.500 0.000 [2 per cell]
Pd 0.000 0.500 0.500 [2 per cell]
Pd 0.253 0.253 0.245 [8 per cell]
Pd 0.500 0.500 0.500 [1 per cell]



[15]
Sc4NiSe | PBE | relaxed

Properties
M_tot: 0.0 μB/f.u.
DFT total energy: -32.450 eV/f.u.
raw formation energy: 0.3569 eV/atom

a = 8.021 Å, b = 8.021 Å, c = 8.021 Å
α = 90.00°, β = 90.00°, γ = 90.00°
Space group F-43m (No. 216)
Unique sites:
Sc 0.124 0.124 0.376 [16 per cell]
Ni 0.250 0.250 0.750 [4 per cell]
Se 0.000 0.000 0.000 [4 per cell]



[16]
TbAgPbBr6 | PBE | relaxed

Properties
M_tot: 0.0 μB/f.u.
DFT total energy: -31.933 eV/f.u.
raw formation energy: -1.1895 eV/atom

a = 7.2523 Å, b = 7.2523 Å, c = 13.4232 Å
α = 90.00°, β = 90.00°, γ = 120.00°
Space group P-31c (No. 163)
Unique sites:
Tb 0.3333 0.6667 0.2500 [2 per cell]
Ag 0.3333 0.6667 0.7500 [2 per cell]
Pb 0.0000 0.0000 0.0000 [2 per cell]
Br 0.0073 0.3537 0.1288 [12 per cell]



[17]
Li4Er3NpTe8 | PBE | relaxed

Properties
M_tot: 4.0 μB/f.u.
DFT total energy: -77.800 eV/f.u.
raw formation energy: -1.1489 eV/atom

a = 8.6745 Å, b = 8.6745 Å, c = 21.1568 Å
α = 90.00°, β = 90.00°, γ = 120.00°
Space group R-3m (No. 166, hexagonal axes)
Unique sites:
Li 0.0000 0.0000 0.0000 [3 per cell]
Li 0.0000 0.5000 0.0000 [9 per cell]
Er 0.0000 0.5000 0.5000 [9 per cell]
Np 0.0000 0.0000 0.5000 [3 per cell]
Te 0.0000 0.0000 0.2510 [6 per cell]
Te 0.0055 0.5027 0.7482 [18 per cell]



[18]
Y4Cu2H | PBE | relaxed

Properties
M_tot: 0.0 μB/f.u.
DFT total energy: -38.469 eV/f.u.

a = 4.738 Å, b = 4.738 Å, c = 13.895 Å
α = 90.00°, β = 90.00°, γ = 90.00°
Space group I4/mmm (No. 139)
Unique sites:
Y 0.000 0.000 0.192 [4 per cell]
Y 0.000 0.500 0.000 [4 per cell]
Cu 0.000 0.000 0.385 [4 per cell]
H 0.000 0.000 0.000 [2 per cell]



[19]
Tb2SmH8 | PBE | relaxed

Properties
M_tot: 0.0 μB/f.u.
DFT total energy: -47.611 eV/f.u.

a = 3.691 Å, b = 5.232 Å, c = 11.076 Å
α = 90.00°, β = 90.00°, γ = 90.00°
Space group Immm (No. 71)
Unique sites:
Tb 0.000 0.000 0.169 [4 per cell]
Sm 0.000 0.000 0.500 [2 per cell]
H 0.000 0.222 0.000 [4 per cell]
H 0.000 0.264 0.337 [8 per cell]
H 0.000 0.500 0.158 [4 per cell]



[20]
Pr3P2N | PBE | relaxed

Properties
M_tot: 0.0 μB/f.u.
DFT total energy: -41.456 eV/f.u.
raw formation energy: -1.3287 eV/atom

a = 12.781 Å, b = 5.914 Å, c = 7.948 Å
α = 90.00°, β = 108.20°, γ = 90.00°
Space group C2/c (No. 15)
Unique sites:
Pr 0.000 0.044 0.250 [4 per cell]
Pr 0.149 0.499 0.575 [8 per cell]
P 0.172 0.005 0.085 [8 per cell]
N 0.000 0.448 0.250 [4 per cell]